Entry 1:
Ca2ZnIn2: relaxed, GGA-PBE.

Geometry as POSCAR:
```
Ca2ZnIn2
1.0
5.7270 -2.3262 0.0000
5.7270 2.3262 0.0000
-5.1235 0.0000 10.2040
Ca Zn In
4 2 4
direct
0.0105 0.0105 0.3353
0.1864 0.1864 0.1077
0.8136 0.8136 0.8923
0.9895 0.9895 0.6647
0.2821 0.2821 0.6611
0.7179 0.7179 0.3389
0.3505 0.3505 0.4368
0.4762 0.4762 0.1191
0.5238 0.5238 0.8809
0.6495 0.6495 0.5632
```

Values from the calculation:
**Final energy**: -25.34 eV per cell
**Density of states at the Fermi level**: 5.62 states/eV/cell
**Magnetization**: 0.000 μB per cell
**Volume**: 272 Å³/cell

Entry 2:
Mg2AsRu: relaxed, GGA-PBE.

Geometry as POSCAR:
```
Mg2AsRu
1.0
3.3934 0.0000 0.0000
0.0000 4.0426 0.0000
-1.6814 0.0000 5.1803
Mg As Ru
2 1 1
direct
0.0000 0.0000 0.0000
0.3214 0.5000 0.6487
0.7244 0.0000 0.4514
0.5968 0.5000 0.1954
```

Values from the calculation:
**Final energy**: -18.01 eV per cell
**Density of states at the Fermi level**: 1.72 states/eV/cell
**Magnetization**: 0.000 μB per cell
**Volume**: 71 Å³/cell

Entry 3:
Ba2Li2Mg: relaxed, GGA-PBE.

Geometry as POSCAR:
```
Ba2Li2Mg
1.0
5.7798 -3.4348 0.0000
5.7798 3.4348 0.0000
-2.2346 0.0000 9.4937
Ba Li Mg
4 4 2
direct
0.0110 0.2869 0.1495
0.2869 0.0110 0.6495
0.7131 0.9890 0.3505
0.9890 0.7131 0.8505
0.2440 0.4982 0.4998
0.4982 0.2440 0.9998
0.5018 0.7560 0.0002
0.7560 0.5018 0.5002
0.3510 0.6490 0.2500
0.6490 0.3510 0.7500
```

Values from the calculation:
**Final energy**: -18.56 eV per cell
**Density of states at the Fermi level**: 9.48 states/eV/cell
**Magnetization**: 0.000 μB per cell
**Volume**: 377 Å³/cell

> Among the records above, which one has the highest volume?

Ba2Li2Mg

> final energy of number 1 (Ca2ZnIn2)?

-25.34 eV per cell

> volume of number 2 (Mg2AsRu)?

71 Å³/cell